GGA-PBE Rb2Np2Br7, relaxed; E_form (uncorrected) = -1.390 eV/atom
1.0
7.9436 0.0006 0.0915
-0.0709 6.9685 2.3135
-0.1269 -1.2657 7.2318
Rb Np Br
2 2 7
Direct
0.5000 0.7668 0.2332
0.5000 0.2332 0.7668
0.0002 0.7202 0.7202
0.9998 0.2798 0.2798
0.2341 0.9989 0.4979
0.7659 0.5021 0.0011
0.7659 0.0011 0.5021
0.2341 0.4979 0.9989
0.0000 0.0000 0.0000
0.7765 0.4999 0.4999
0.2235 0.5001 0.5001



GGA-PBE Nb4CrMo3, relaxed; energy of formation from the pure elements = -85 meV/atom
1.0
-1.4933 -0.6262 -2.7679
1.2490 -2.9535 -0.0057
-10.1767 -4.3160 6.4669
Cr Nb Mo
1 4 3
Direct
0.5000 0.5000 0.0000
0.0000 0.0000 0.8805
0.0000 0.0000 0.1195
0.0000 0.0000 0.3729
0.0000 0.0000 0.6271
0.5000 0.5000 0.2461
0.5000 0.5000 0.5000
0.5000 0.5000 0.7539



GGA-PBE AuS2ClF, relaxed; E_form (uncorrected) = 0.594 eV/atom; energy above the lowest structure with this stoichiometry = 0.0000 eV/atom
1.0
-0.7844 -4.4369 -1.9789
2.2363 -2.1093 3.8428
-4.3280 -0.2877 2.3607
S F Au Cl
2 1 1 1
Direct
0.0000 0.5000 0.0000
0.5000 0.0000 0.0000
0.5000 0.5000 0.5000
0.0000 0.0000 0.0000
0.0000 0.0000 0.5000



GGA-PBE Li4TlSb, relaxed; E_form (uncorrected) = -0.152 eV/atom; energy above the lowest structure with this stoichiometry = 0.0206 eV/atom
1.0
-6.1198 -2.4415 4.2469
6.1936 -4.2745 -2.1951
3.3111 5.1906 4.8522
Li Tl Sb
8 2 2
Direct
0.2358 0.9714 0.7356
0.7643 0.4653 0.7010
0.7214 0.4858 0.2356
0.2153 0.0143 0.2010
0.2502 0.4858 0.7644
0.8133 0.0143 0.7990
0.7643 0.0633 0.2990
0.2358 0.5002 0.2644
0.7190 0.7190 0.0000
0.4690 0.9690 0.5000
0.2808 0.2808 0.0000
0.0308 0.5308 0.5000



GGA-PBE KIn5, relaxed; energy above the lowest structure with this stoichiometry = 0.0207 eV/atom; energy of formation from the pure elements = -27 meV/atom
1.0
-0.3566 2.5911 4.3316
-0.2476 -4.1067 2.4361
7.2798 1.9929 -0.5927
K In
1 5
Direct
0.0000 0.0000 0.0000
0.0000 0.6787 0.3573
0.0000 0.3213 0.6427
0.5000 0.5000 0.0000
0.5000 0.1703 0.3405
0.5000 0.8297 0.6595



GGA-PBE UTlSnSe3, relaxed; E_form (uncorrected) = -0.684 eV/atom
1.0
4.0762 0.0000 0.0000
0.0000 9.0862 -0.7737
0.0000 -4.3972 9.4925
U Tl Sn Se
2 2 2 6
Direct
0.2500 0.7150 0.1910
0.7500 0.2850 0.8090
0.7500 0.7692 0.8062
0.2500 0.2308 0.1938
0.2500 0.1159 0.4683
0.7500 0.8841 0.5317
0.2500 0.6614 0.4534
0.7500 0.9053 0.1533
0.7500 0.4659 0.1265
0.7500 0.3386 0.5466
0.2500 0.5341 0.8735
0.2500 0.0947 0.8467



GGA-PBE Tm2InTcC, relaxed; energy of formation from the pure elements = -416 meV/atom
1.0
-1.3523 -2.5882 -2.7814
-3.2480 -1.7473 3.2051
-3.2620 3.3149 -1.4986
Tm In Tc C
2 1 1 1
Direct
0.0000 0.0000 0.5000
0.0000 0.5000 0.0000
0.5000 0.5000 0.5000
0.5000 0.0000 0.0000
0.0000 0.0000 0.0000



Number 1: VASP energy -54.816 eV/cell. Number 2: VASP energy -83.079 eV/cell. Number 3: VASP energy -12.281 eV/cell. Number 4: VASP energy -30.109 eV/cell. Number 5: VASP energy -14.954 eV/cell. Number 6: VASP energy -64.424 eV/cell. Number 7: VASP energy -33.352 eV/cell.